DFT (PBE) results for a relaxed structure of Pr3Mg2Hg6.

Structure (CIF):
```
data_Pr3Mg2Hg6
_chemical_formula_sum 'Pr6 Mg4 Hg12'
_symmetry_space_group_name_H-M 'I 4/m m m'
_symmetry_Int_Tables_number 139
_symmetry_space_group_name_Hall '-I 4 2'
_cell_length_a 4.638
_cell_length_b 4.638
_cell_length_c 27.286
_cell_angle_alpha 90.00
_cell_angle_beta 90.00
_cell_angle_gamma 90.00
loop_
_atom_site_label
_atom_site_fract_x
_atom_site_fract_y
_atom_site_fract_z
Pr1 0.000 0.000 0.000
Pr2 0.000 0.000 0.198
Mg1 0.000 0.000 0.449
Hg1 0.000 0.000 0.314
Hg2 0.000 0.500 0.107
```

Output
Its formation enthalpy at 0 K is -298 meV/atom. The density of states at the Fermi level comes out at 10.2 states/eV/f.u. The calculation puts the calculated volume at 26.68 A^3/atom. Its size of the total moment is 0.0 Bohr magnetons per cell.

=====

DFT (PBE) results for a relaxed structure of Pr4MgHg2.

Structure (CIF):
```
data_Pr4MgHg2
_chemical_formula_sum 'Pr12 Mg3 Hg6'
_symmetry_space_group_name_H-M 'R -3 m'
_symmetry_Int_Tables_number 166
_symmetry_space_group_name_Hall '-R 3 2"'
_cell_length_a 5.4533
_cell_length_b 5.4533
_cell_length_c 26.9825
_cell_angle_alpha 90.00
_cell_angle_beta 90.00
_cell_angle_gamma 120.00
loop_
_atom_site_label
_atom_site_fract_x
_atom_site_fract_y
_atom_site_fract_z
Pr1 0.0000 0.0000 0.1259
Pr2 0.0000 0.0000 0.2825
Mg1 0.0000 0.0000 0.5000
Hg1 0.0000 0.0000 0.3991
```

Output
Its formation enthalpy at 0 K is -106 meV/atom. Its energy relative to the lowest polymorph listed for this composition is 102.3 meV/atom. The density of states at the Fermi level comes out at 11.7 states/eV/f.u. The calculation puts the calculated volume at 33.09 A^3/atom. Its size of the total moment is 0.0 Bohr magnetons per cell.

=====

The lowest formation enthalpy at 0 K belongs to which entry? Pr3Mg2Hg6

=====

Look up the size of the total moment of the first one. 0.0 Bohr magnetons per cell